# 1
Below is a relaxed ZrBiNO crystal, with properties calculated at the GGA-PBE level.

Computed properties:
Total magnetic moment ... 0.00 μB per cell
VASP energy ... -60.7 eV per cell
Crystal system ... orthorhombic
Density ... 6.8 g cm⁻³

POSCAR file:
```
ZrBiNO
1.0
3.452 0.000 0.000
0.000 6.945 0.000
0.000 0.000 6.740
Zr Bi N O
2 2 2 2
Direct
0.000 0.133 0.000
0.000 0.867 0.500
0.500 0.261 0.497
0.500 0.739 0.997
0.000 0.115 0.315
0.000 0.885 0.815
0.500 0.275 0.945
0.500 0.725 0.445
```

***

# 2
Below is a relaxed Zr4BiPN2 crystal, with properties calculated at the GGA-PBE level.

Computed properties:
Total magnetic moment ... 0.00 μB per cell
VASP energy ... -69.9 eV per cell
Crystal system ... hexagonal
Density ... 7.8 g cm⁻³

POSCAR file:
```
Zr4BiPN2
1.0
3.436 0.000 0.000
-1.718 2.976 0.000
0.000 0.000 13.113
Zr Bi P N
4 1 1 2
Direct
0.000 0.000 0.136
0.000 0.000 0.864
0.667 0.333 0.319
0.667 0.333 0.681
0.000 0.000 0.500
0.667 0.333 0.000
0.333 0.667 0.230
0.333 0.667 0.770
```

***

# 3
Below is a relaxed PaBiN crystal, with properties calculated at the GGA-PBE level.

Computed properties:
Total magnetic moment ... 0.01 μB per cell
VASP energy ... -50.6 eV per cell
Crystal system ... tetragonal
Density ... 12.0 g cm⁻³

POSCAR file:
```
PaBiN
1.0
4.000 0.000 0.000
0.000 4.000 0.000
0.000 0.000 7.874
Pa Bi N
2 2 2
Direct
0.250 0.250 0.145
0.750 0.750 0.855
0.250 0.250 0.616
0.750 0.750 0.384
0.250 0.750 0.000
0.750 0.250 0.000
```